(1)
Entry from Alexandria: a relaxed HfZrTl2 crystal (PBE).

energy above the lowest structure with this stoichiometry	1.243	kcal/mol of atoms
energy of formation from the pure elements	7.34	kJ per mole of atoms
N(E_F)	3.63	states/eV/f.u.
magnetization	0.00	μB per cell
final energy	-0.42133	Ry/atom

```
data_HfZrTl2
_chemical_formula_sum 'Hf3 Zr3 Tl6'
_space_group_name_H-M_alt 'R -3 m'
_space_group_IT_number 166
_space_group_name_Hall '-R 3 2"'
_cell_length_a 3.2514
_cell_length_b 3.2514
_cell_length_c 30.7314
_cell_angle_alpha 90.00
_cell_angle_beta 90.00
_cell_angle_gamma 120.00
loop_
_atom_site_label
_atom_site_type_symbol
_atom_site_fract_x
_atom_site_fract_y
_atom_site_fract_z
Hf1 Hf 0.0000 0.0000 0.0000
Zr1 Zr 0.0000 0.0000 0.5000
Tl1 Tl 0.0000 0.0000 0.2502
```

***

(2)
Entry from Alexandria: a relaxed Hf3Zr2Tl2 crystal (PBE).

energy of formation from the pure elements	5.83	kJ per mole of atoms
N(E_F)	9.08	states/eV/f.u.
magnetization	0.00	μB per cell
final energy	-0.53829	Ry/atom

```
data_Hf3Zr2Tl2
_chemical_formula_sum 'Hf6 Zr4 Tl4'
_space_group_name_H-M_alt 'C m m m'
_space_group_IT_number 65
_space_group_name_Hall '-C 2 2'
_cell_length_a 4.494
_cell_length_b 22.253
_cell_length_c 3.289
_cell_angle_alpha 90.00
_cell_angle_beta 90.00
_cell_angle_gamma 90.00
loop_
_atom_site_label
_atom_site_type_symbol
_atom_site_fract_x
_atom_site_fract_y
_atom_site_fract_z
Hf1 Hf 0.000 0.000 0.000
Hf2 Hf 0.000 0.432 0.500
Zr1 Zr 0.000 0.143 0.000
Tl1 Tl 0.000 0.293 0.500
```

***

(3)
Entry from Alexandria: a relaxed Hf2Zr8Tl3 crystal (PBE).

energy of formation from the pure elements	30.43	kJ per mole of atoms
N(E_F)	16.79	states/eV/f.u.
magnetization	0.00	μB per cell
final energy	-0.51613	Ry/atom

```
data_Hf2Zr8Tl3
_chemical_formula_sum 'Hf6 Zr24 Tl9'
_space_group_name_H-M_alt 'R -3 m'
_space_group_IT_number 166
_space_group_name_Hall '-R 3 2"'
_cell_length_a 5.8477
_cell_length_b 5.8477
_cell_length_c 31.9765
_cell_angle_alpha 90.00
_cell_angle_beta 90.00
_cell_angle_gamma 120.00
loop_
_atom_site_label
_atom_site_type_symbol
_atom_site_fract_x
_atom_site_fract_y
_atom_site_fract_z
Hf1 Hf 0.0000 0.0000 0.1374
Zr1 Zr 0.0000 0.0000 0.2222
Zr2 Zr 0.0062 0.5031 0.7262
Tl1 Tl 0.0000 0.0000 0.3132
Tl2 Tl 0.0000 0.0000 0.5000
```